DFT (GGA-PBE) results for K3LaPu2O9 after structural relaxation.

Lattice parameters (Å, degrees): 6.1590 6.1590 7.5843 90.00 90.00 120.00
Space group P-3m1 (No. 164)
Symmetry-distinct sites (fractional):
K 0.0000 0.0000 0.0000 (multiplicity 1)
K 0.3333 0.6667 0.6662 (multiplicity 2)
La 0.0000 0.0000 0.5000 (multiplicity 1)
Pu 0.3333 0.6667 0.1580 (multiplicity 2)
O 0.0000 0.5000 0.0000 (multiplicity 3)
O 0.1790 0.3580 0.3130 (multiplicity 6)

## Properties
- M_tot (μB per atom) = 0.27
- uncorrected formation energy (meV/atom) = -2542
- uncorrected energy (eV per atom) = -7.976

***

DFT (GGA-PBE) results for AcAlZnAu3 after structural relaxation.

Lattice parameters (Å, degrees): 6.808 12.663 6.424 90.00 90.00 90.00
Space group Cmcm (No. 63)
Symmetry-distinct sites (fractional):
Ac 0.000 0.212 0.250 (multiplicity 4)
Al 0.000 0.480 0.250 (multiplicity 4)
Zn 0.000 0.120 0.750 (multiplicity 4)
Au 0.000 0.319 0.750 (multiplicity 4)
Au 0.212 0.000 0.000 (multiplicity 8)

## Properties
- M_tot (μB per atom) = 0.00
- formation energy (meV/atom) = -461
- uncorrected energy (eV per atom) = -3.621

***

DFT (GGA-PBE) results for HfTa2AgMo after structural relaxation.

Lattice parameters (Å, degrees): 4.843 4.843 4.874 90.00 90.00 90.00
Space group P4/mmm (No. 123)
Symmetry-distinct sites (fractional):
Hf 0.000 0.000 0.000 (multiplicity 1)
Ta 0.000 0.500 0.500 (multiplicity 2)
Ag 0.500 0.500 0.500 (multiplicity 1)
Mo 0.500 0.500 0.000 (multiplicity 1)

## Properties
- M_tot (μB per atom) = 0.00
- formation energy (meV/atom) = 1898
- uncorrected energy (eV per atom) = -7.570

***

DFT (GGA-PBE) results for Tb12Sm6Th after structural relaxation.

Lattice parameters (Å, degrees): 15.4865 15.4865 9.5565 90.00 90.00 120.00
Space group R-3m (No. 166, hexagonal axes)
Symmetry-distinct sites (fractional):
Tb 0.0000 0.3935 0.0000 (multiplicity 18)
Tb 0.0680 0.1360 0.8079 (multiplicity 18)
Sm 0.0376 0.5188 0.6881 (multiplicity 18)
Th 0.0000 0.0000 0.5000 (multiplicity 3)

## Properties
- M_tot (μB per atom) = 0.00
- formation energy (meV/atom) = 459
- uncorrected energy (eV per atom) = -4.346

***

DFT (GGA-PBE) results for ScCuGeH after structural relaxation.

Lattice parameters (Å, degrees): 3.830 3.830 6.951 90.00 90.00 90.00
Space group P4/nmm (No. 129, origin choice 2)
Symmetry-distinct sites (fractional):
Sc 0.250 0.250 0.145 (multiplicity 2)
Cu 0.250 0.750 0.500 (multiplicity 2)
Ge 0.250 0.250 0.720 (multiplicity 2)
H 0.250 0.750 0.000 (multiplicity 2)

## Properties
- M_tot (μB per atom) = 0.00
- uncorrected energy (eV per atom) = -5.116

***

DFT (GGA-PBE) results for CuRuSe2 after structural relaxation.

Lattice parameters (Å, degrees): 4.763 3.237 4.890 90.00 109.29 90.00
Space group P2/m (No. 10)
Symmetry-distinct sites (fractional):
Cu 0.000 0.000 0.000 (multiplicity 1)
Ru 0.500 0.000 0.500 (multiplicity 1)
Se 0.283 0.500 0.753 (multiplicity 2)

## Properties
- M_tot (μB per atom) = 0.00
- uncorrected formation energy (meV/atom) = 273
- uncorrected energy (eV per atom) = -4.812

***

DFT (GGA-PBE) results for MnRuAuCS after structural relaxation.

Lattice parameters (Å, degrees): 10.597 2.932 5.258 90.00 116.68 90.00
Space group Cm (No. 8)
Symmetry-distinct sites (fractional):
Mn 0.000 0.000 0.000 (multiplicity 2)
Ru 0.234 0.000 0.932 (multiplicity 2)
Au 0.480 0.000 0.441 (multiplicity 2)
C 0.105 0.500 0.964 (multiplicity 2)
S 0.287 0.500 0.648 (multiplicity 2)

## Properties
- M_tot (μB per atom) = 0.39
- uncorrected formation energy (meV/atom) = 272
- uncorrected energy (eV per atom) = -6.743

***

DFT (GGA-PBE) results for Sn2Hg2Pd7 after structural relaxation.

Lattice parameters (Å, degrees): 7.961 9.381 6.018 90.00 90.00 90.00
Space group Cmmm (No. 65)
Symmetry-distinct sites (fractional):
Sn 0.000 0.216 0.000 (multiplicity 4)
Hg 0.182 0.500 0.500 (multiplicity 4)
Pd 0.000 0.000 0.276 (multiplicity 4)
Pd 0.000 0.500 0.000 (multiplicity 2)
Pd 0.250 0.250 0.270 (multiplicity 8)

## Properties
- M_tot (μB per atom) = 0.00
- formation energy (meV/atom) = -97
- uncorrected energy (eV per atom) = -4.184

***

DFT (GGA-PBE) results for ErThMnGa after structural relaxation.

Lattice parameters (Å, degrees): 7.181 7.181 7.181 90.00 90.00 90.00
Space group F-43m (No. 216)
Symmetry-distinct sites (fractional):
Er 0.000 0.000 0.000 (multiplicity 4)
Th 0.000 0.000 0.500 (multiplicity 4)
Mn 0.250 0.250 0.250 (multiplicity 4)
Ga 0.250 0.250 0.750 (multiplicity 4)

## Properties
- M_tot (μB per atom) = 0.68
- formation energy (meV/atom) = -103
- uncorrected energy (eV per atom) = -6.147

***

DFT (GGA-PBE) results for SmUSb2 after structural relaxation.

Lattice parameters (Å, degrees): 4.3718 4.3718 22.1636 90.00 90.00 120.00
Space group R-3m (No. 166, hexagonal axes)
Symmetry-distinct sites (fractional):
Sm 0.0000 0.0000 0.0000 (multiplicity 3)
U 0.0000 0.0000 0.5000 (multiplicity 3)
Sb 0.0000 0.0000 0.2484 (multiplicity 6)

## Properties
- M_tot (μB per atom) = 0.66
- uncorrected formation energy (meV/atom) = -680
- uncorrected energy (eV per atom) = -6.743

***

DFT (GGA-PBE) results for Rb2NaHg after structural relaxation.

Lattice parameters (Å, degrees): 10.646 10.646 7.776 90.00 90.00 90.00
Space group I-42d (No. 122)
Symmetry-distinct sites (fractional):
Rb 0.210 0.250 0.125 (multiplicity 8)
Na 0.000 0.000 0.500 (multiplicity 4)
Hg 0.000 0.000 0.000 (multiplicity 4)

## Properties
- M_tot (μB per atom) = 0.00
- formation energy (meV/atom) = -15
- uncorrected energy (eV per atom) = -0.904

***

DFT (GGA-PBE) results for HfMn3Sb after structural relaxation.

Lattice parameters (Å, degrees): 4.783 4.783 4.783 90.00 90.00 90.00
Space group Pm-3m (No. 221)
Symmetry-distinct sites (fractional):
Hf 0.000 0.000 0.000 (multiplicity 1)
Mn 0.000 0.000 0.500 (multiplicity 3)
Sb 0.500 0.500 0.500 (multiplicity 1)

## Properties
- M_tot (μB per atom) = 1.85
- uncorrected formation energy (meV/atom) = 1220
- uncorrected energy (eV per atom) = -7.097

***

Which value of uncorrected energy does entry 8 give? -4.184 eV per atom

***

Which value of uncorrected energy does entry 2 give? -3.621 eV per atom

***

Which of these has the highest M_tot? HfMn3Sb